# MgZn3 | the Alexandria database | PBE | relaxed
data_MgZn3
_cell_length_a 5.1939
_cell_length_b 8.9805
_cell_length_c 5.6822
_cell_angle_alpha 90.00
_cell_angle_beta 90.00
_cell_angle_gamma 90.00
_space_group_name_H-M_alt 'P 1'
_space_group_IT_number 1
loop_
_space_group_symop_operation_xyz
'x,y,z'
loop_
_atom_site_label
_atom_site_fract_x
_atom_site_fract_y
_atom_site_fract_z
_atom_site_occupancy
Mg1 0.0574 0.7500 0.6010 1
Mg2 0.4426 0.2500 0.1010 1
Mg3 0.5574 0.7500 0.8990 1
Mg4 0.9426 0.2500 0.3990 1
Zn1 0.9199 0.2500 0.8912 1
Zn2 0.2847 0.9930 0.3452 1
Zn3 0.2847 0.5070 0.3452 1
Zn4 0.2153 0.4930 0.8452 1
Zn5 0.2153 0.0070 0.8452 1
Zn6 0.5801 0.7500 0.3912 1
Zn7 0.4199 0.2500 0.6088 1
Zn8 0.7847 0.9930 0.1548 1
Zn9 0.7847 0.5070 0.1548 1
Zn10 0.7153 0.4930 0.6548 1
Zn11 0.7153 0.0070 0.6548 1
Zn12 0.0801 0.7500 0.1088 1
# Symmetry: Pnma (62)
# ΔH_f (0 K) (eV per atom): -0.018
# E (hartree per atom): -0.0504
# V (Å³/f.u.): 66.3